Material: ScCdPd3
Method: DFT, GGA-PBE
State: relaxed

Cell: 4.8897 4.8897 4.8897 Å, 90.00 90.00 90.00°
With the nearest neighbours (Å) after each atom.
Space group Pm-3m (No. 221)
Asymmetric unit:
Sc (0.0000, 0.0000, 0.0000) x1  12 Pd 3.46
Cd (0.5000, 0.5000, 0.5000) x1  6 Pd 2.44
Pd (0.0000, 0.5000, 0.5000) x3  2 Cd 2.44

Output
For the magnetic moment, the calculation gives 0.000 Bohr magnetons per cell. The value obtained for the density of states at the Fermi level is 4.9 states/eV per cell. The formation energy from the elements comes out at 0.44 eV/atom.

---

Material: Sr4Mg2Rh
Method: DFT, GGA-PBE
State: relaxed

Cell: 5.7339 5.7339 17.7780 Å, 90.00 90.00 90.00°
With the nearest neighbours (Å) after each atom.
Space group I4/mmm (No. 139)
Asymmetric unit:
Sr (0.0000, 0.0000, 0.1688) x4  1 Rh 3.00
Sr (0.0000, 0.5000, 0.0000) x4  2 Rh 2.87
Mg (0.0000, 0.0000, 0.3711) x4  5 Sr 3.60-3.67
Rh (0.0000, 0.0000, 0.0000) x2  6 Sr 2.87-3.00

Output
For the magnetic moment, the calculation gives 0.000 Bohr magnetons per cell. The value obtained for the density of states at the Fermi level is 13.0 states/eV per cell. The formation energy from the elements comes out at -0.01 eV/atom.

---

Material: BaOsCl
Method: DFT, GGA-PBE
State: relaxed

Cell: 4.2591 4.2591 6.2351 Å, 90.00 90.00 120.00°
With the nearest neighbours (Å) after each atom.
Space group P3m1 (No. 156)
Asymmetric unit:
Ba (0.0000, 0.0000, 0.0000) x1  3 Cl 3.12, 3 Os 3.33
Os (0.3333, 0.6667, 0.6389) x1  3 Cl 3.21, 3 Ba 3.33
Cl (0.6667, 0.3333, 0.3072) x1  3 Ba 3.12, 3 Os 3.21

Output
As for the formation energy from raw total energies: 0.732 eV per atom. For the magnetic moment, the calculation gives 3.000 Bohr magnetons per cell. The value obtained for the density of states at the Fermi level is 2.2 states/eV per cell.